K4In3Hg2 | PBE-GGA | optimized geometry

The space group is C2/m (12). The formation energy from the elements is -0.131 eV per atom. The total magnetization comes out at 0.000 μB/f.u.

Lattice parameters (Å, degrees): 5.018 7.997 9.307 107.31 105.64 90.00
Positions (direct):
K1 0.230 0.681 0.460
K2 0.770 0.319 0.540
K3 0.588 0.882 0.175
K4 0.412 0.118 0.825
In1 0.082 0.210 0.165
In2 0.918 0.790 0.835
In3 0.000 0.500 0.000
Hg1 0.407 0.567 0.814
Hg2 0.593 0.433 0.186